Entry 1:
# PBE CaMgTe2, relaxed
# E   -3.323 eV/atom
data_CaMgTe2
_cell_length_a 5.367
_cell_length_b 5.367
_cell_length_c 3.868
_cell_angle_alpha 90.00
_cell_angle_beta 90.00
_cell_angle_gamma 90.00
_symmetry_space_group_name_H-M 'P 4/m m m'
_symmetry_Int_Tables_number 123
_symmetry_space_group_name_Hall '-P 4 2'
loop_
_atom_site_label
_atom_site_type_symbol
_atom_site_fract_x
_atom_site_fract_y
_atom_site_fract_z
_atom_site_occupancy
Ca1 Ca 0.000 0.000 0.000 1
Mg1 Mg 0.500 0.500 0.000 1
Te1 Te 0.000 0.500 0.500 1

Entry 2:
# PBE CaMgTe2, relaxed
# E   -3.421 eV/atom
data_CaMgTe2
_cell_length_a 4.161
_cell_length_b 3.946
_cell_length_c 7.782
_cell_angle_alpha 90.00
_cell_angle_beta 103.46
_cell_angle_gamma 90.00
_symmetry_space_group_name_H-M 'P 1 2/m 1'
_symmetry_Int_Tables_number 10
loop_
_symmetry_equiv_pos_as_xyz
'x,y,z'
'-x,-y,-z'
'-x,y,-z'
'x,-y,z'
loop_
_atom_site_label
_atom_site_type_symbol
_atom_site_fract_x
_atom_site_fract_y
_atom_site_fract_z
_atom_site_occupancy
Ca1 Ca 0.000 0.000 0.000 1
Mg1 Mg 0.000 0.000 0.500 1
Te1 Te 0.327 0.500 0.750 1

Respective ΔE_f (raw) values: -0.853 -0.951 eV per atom.